# 1
Compound: Li3Ti4O8
Source: the Alexandria database
Functional: PBEsol
Structure: optimized geometry

Cell and atoms, written as POSCAR:
```
Li3Ti4O8
1.0
5.707 0.000 0.000
0.000 5.726 0.000
-2.848 -2.863 4.145
O Ti Li
8 4 3
Direct
0.743 0.243 0.994
0.743 0.751 0.994
0.257 0.249 0.006
0.719 0.244 0.487
0.281 0.756 0.513
0.757 0.750 0.500
0.257 0.757 0.006
0.243 0.250 0.500
0.000 0.000 0.000
0.500 0.500 0.500
0.500 0.500 0.000
0.500 0.000 0.500
0.000 0.500 0.500
0.500 0.000 0.000
0.000 0.000 0.500
```

Calculated values
Distance to the lowest polymorph of the same formula ... 4.8 meV/atom
SG ... C2/m, No. 12

=====

# 2
Compound: LiTi3O6
Source: the Alexandria database
Functional: PBEsol
Structure: optimized geometry

Cell and atoms, written as POSCAR:
```
LiTi3O6
1.0
-0.737 4.413 2.855
-3.243 -0.779 -4.128
-3.299 -5.885 5.560
Li O Ti
2 12 6
Direct
0.500 0.500 0.000
0.750 0.250 0.500
0.792 0.856 0.162
0.470 0.530 0.500
0.030 0.970 0.500
0.220 0.780 0.000
0.106 0.542 0.662
0.556 0.120 0.662
0.370 0.306 0.162
0.144 0.208 0.838
0.780 0.220 0.000
0.694 0.630 0.838
0.458 0.894 0.338
0.880 0.444 0.338
0.918 0.418 0.837
0.000 0.000 0.000
0.250 0.750 0.500
0.582 0.082 0.163
0.332 0.332 0.663
0.668 0.668 0.337
```

Calculated values
Distance to the lowest polymorph of the same formula ... 7.2 meV/atom
SG ... Fddd, No. 70

=====

# 3
Compound: Li3Ti8O16
Source: the Alexandria database
Functional: PBEsol
Structure: optimized geometry

Cell and atoms, written as POSCAR:
```
Li3Ti8O16
1.0
5.910 0.000 0.000
0.000 8.361 0.000
0.000 0.000 11.818
Ti O Li
16 32 6
Direct
0.500 0.755 0.375
0.251 0.499 0.500
0.000 0.251 0.377
0.250 0.000 0.750
0.000 0.245 0.875
0.000 0.251 0.623
0.750 0.000 0.250
0.500 0.755 0.625
0.749 0.499 0.500
0.500 0.749 0.123
0.750 0.000 0.750
0.249 0.501 0.000
0.751 0.501 0.000
0.250 0.000 0.250
0.500 0.749 0.877
0.000 0.245 0.125
0.000 0.013 0.637
0.274 0.762 0.250
0.000 0.013 0.363
0.774 0.238 0.750
0.000 0.490 0.614
0.000 0.486 0.113
0.726 0.762 0.250
0.500 0.514 0.387
0.225 0.261 0.000
0.775 0.261 0.000
0.274 0.762 0.750
0.000 0.490 0.386
0.000 0.486 0.887
0.720 0.732 0.000
0.500 0.514 0.613
0.220 0.268 0.500
0.500 0.987 0.137
0.774 0.238 0.250
0.000 0.015 0.859
0.226 0.238 0.250
0.725 0.739 0.500
0.500 0.510 0.114
0.500 0.985 0.359
0.500 0.987 0.863
0.726 0.762 0.750
0.275 0.739 0.500
0.500 0.510 0.886
0.780 0.268 0.500
0.500 0.985 0.641
0.280 0.732 0.000
0.000 0.015 0.141
0.226 0.238 0.750
0.000 0.878 0.500
0.000 0.627 0.753
0.500 0.373 0.747
0.500 0.122 0.000
0.500 0.373 0.253
0.000 0.627 0.247
```

Calculated values
SG ... Pmmn, No. 59

=====

# 4
Compound: LiTi11O20
Source: the Alexandria database
Functional: PBEsol
Structure: optimized geometry

Cell and atoms, written as POSCAR:
```
LiTi11O20
1.0
7.151 0.003 -0.002
-1.842 7.384 -0.008
-0.626 -0.272 13.065
O Ti Li
40 22 2
Direct
0.161 0.541 0.834
0.878 0.114 0.234
0.839 0.459 0.166
0.856 0.599 0.732
0.170 0.956 0.549
0.497 0.174 0.474
0.818 0.324 0.596
0.821 0.672 0.522
0.508 0.395 0.828
0.485 0.953 0.095
0.492 0.605 0.172
0.498 0.878 0.329
0.830 0.044 0.451
0.848 0.765 0.304
0.174 0.462 0.047
0.182 0.676 0.404
0.835 0.379 0.379
0.163 0.736 0.202
0.505 0.321 0.031
0.179 0.328 0.478
0.510 0.545 0.396
0.826 0.538 0.953
0.515 0.047 0.905
0.828 0.821 0.097
0.172 0.179 0.903
0.490 0.455 0.604
0.837 0.264 0.798
0.144 0.401 0.268
0.165 0.621 0.621
0.835 0.964 0.665
0.836 0.885 0.880
0.495 0.679 0.969
0.502 0.122 0.671
0.503 0.826 0.526
0.173 0.825 0.976
0.827 0.175 0.024
0.165 0.036 0.335
0.122 0.886 0.766
0.152 0.235 0.696
0.164 0.115 0.120
0.992 0.795 0.632
0.326 0.576 0.514
0.678 0.916 0.992
0.698 0.794 0.414
0.985 0.073 0.799
0.690 0.287 0.920
0.674 0.424 0.486
0.008 0.205 0.368
0.679 0.060 0.572
0.321 0.940 0.428
0.302 0.206 0.586
0.666 0.566 0.072
0.015 0.927 0.201
0.644 0.372 0.712
0.036 0.434 0.707
0.002 0.297 0.129
0.322 0.084 0.008
0.998 0.703 0.871
0.964 0.566 0.293
0.356 0.628 0.288
0.334 0.434 0.928
0.310 0.713 0.080
0.604 0.041 0.224
0.396 0.959 0.776
```

Calculated values
SG ... P-1, No. 2

=====

# 5
Compound: LiTi3O
Source: the Alexandria database
Functional: PBEsol
Structure: optimized geometry

Cell and atoms, written as POSCAR:
```
LiTi3O
1.0
4.081 0.000 0.000
0.000 4.081 0.000
0.000 0.000 4.081
Ti O Li
3 1 1
Direct
0.500 0.000 0.000
0.000 0.000 0.500
0.000 0.500 0.000
0.000 0.000 0.000
0.500 0.500 0.500
```

Calculated values
Distance to the lowest polymorph of the same formula ... 0.0 meV/atom
SG ... Pm-3m, No. 221

=====

# 6
Compound: Li4Ti3O8
Source: the Alexandria database
Functional: PBEsol
Structure: optimized geometry

Cell and atoms, written as POSCAR:
```
Li4Ti3O8
1.0
5.824 0.004 0.026
-2.855 5.076 -0.026
-2.806 -1.768 4.778
Ti O Li
3 8 4
Direct
0.500 0.000 0.500
0.500 0.500 0.500
0.000 0.000 0.500
0.517 0.755 0.273
0.483 0.245 0.727
0.030 0.250 0.280
0.498 0.756 0.717
0.039 0.781 0.283
0.970 0.750 0.720
0.961 0.219 0.717
0.502 0.244 0.283
0.000 0.500 0.000
0.000 0.500 0.500
0.000 0.000 0.000
0.500 0.000 0.000
```

Calculated values
Distance to the lowest polymorph of the same formula ... 0.0 meV/atom
SG ... C2/m, No. 12

=====

# 7
Compound: Li7Ti7O16
Source: the Alexandria database
Functional: PBEsol
Structure: optimized geometry

Cell and atoms, written as POSCAR:
```
Li7Ti7O16
1.0
-0.724 -5.809 0.080
1.546 -3.208 -4.648
9.133 -4.059 2.152
Ti O Li
7 16 7
Direct
0.254 0.744 0.258
0.254 0.743 0.749
0.254 0.254 0.749
0.999 0.999 0.003
0.744 0.744 0.258
0.743 0.254 0.749
0.744 0.254 0.258
0.141 0.611 0.638
0.380 0.380 0.860
0.893 0.893 0.874
0.611 0.141 0.638
0.384 0.384 0.371
0.618 0.618 0.147
0.647 0.108 0.138
0.893 0.340 0.874
0.861 0.384 0.371
0.108 0.647 0.138
0.340 0.893 0.874
0.121 0.121 0.637
0.108 0.108 0.138
0.611 0.611 0.638
0.876 0.876 0.373
0.384 0.861 0.371
0.986 0.986 0.515
0.513 0.986 0.515
0.235 0.235 0.295
0.498 0.498 0.506
0.986 0.513 0.515
0.317 0.317 0.050
0.688 0.688 0.935
```

Calculated values
SG ... R3m, No. 160

=====

# 8
Compound: Li2Ti3O6
Source: the Alexandria database
Functional: PBEsol
Structure: optimized geometry

Cell and atoms, written as POSCAR:
```
Li2Ti3O6
1.0
5.093 0.015 0.000
-1.987 4.689 0.000
-1.553 -2.352 8.452
O Ti Li
12 6 4
Direct
0.913 0.428 0.329
0.489 0.511 0.500
0.678 0.663 0.829
0.011 0.989 0.500
0.239 0.761 0.000
0.572 0.087 0.671
0.337 0.322 0.171
0.151 0.166 0.829
0.761 0.239 0.000
0.416 0.901 0.329
0.834 0.849 0.171
0.099 0.584 0.671
0.585 0.085 0.170
0.665 0.665 0.330
0.915 0.415 0.830
0.335 0.335 0.670
0.000 0.000 0.000
0.250 0.750 0.500
0.419 0.919 0.838
0.169 0.169 0.338
0.081 0.581 0.162
0.831 0.831 0.662
```

Calculated values
Distance to the lowest polymorph of the same formula ... 0.0 meV/atom
SG ... Fddd, No. 70

=====

Listing total DFT energy (no corrections) for the structures above in their given order: -122.2, -87.5, -234.9, -293.9, -36.9, -115.2, -238.4, -91.1 eV/f.u..
Listing raw formation energy for the structures above in their given order: -2.735, -2.907, -2.903, -2.982, -0.942, -2.693, -2.745, -2.794 eV/atom.
Listing total magnetization for the structures above in their given order: 0.00, 0.00, 0.00, 0.00, 0.00, 0.00, 0.00, 0.00 μB/atom.